Computed, not measured: an optimized crystal structure of TbPrMgGa at the PBE level of DFT.

Uncorrected energy: -3.84 eV/atom

CIF file:
```
data_TbPrMgGa
_cell_length_a 3.7094
_cell_length_b 3.7094
_cell_length_c 7.7171
_cell_angle_alpha 90.00
_cell_angle_beta 90.00
_cell_angle_gamma 90.00
_symmetry_space_group_name_H-M 'P 4 m m'
_symmetry_Int_Tables_number 99
loop_
_symmetry_equiv_pos_as_xyz
'x,y,z'
'-y,x,z'
'-x,-y,z'
'y,-x,z'
'-x,y,z'
'y,x,z'
'x,-y,z'
'-y,-x,z'
loop_
_atom_site_label
_atom_site_fract_x
_atom_site_fract_y
_atom_site_fract_z
_atom_site_occupancy
Tb1 0.0000 0.0000 0.0000 1
Pr1 0.0000 0.0000 0.5385 1
Mg1 0.5000 0.5000 0.2566 1
Ga1 0.5000 0.5000 0.7852 1
```



Computed, not measured: an optimized crystal structure of TlHIrOs2 at the PBE level of DFT.

Uncorrected energy: -5.32 eV/atom

CIF file:
```
data_TlHIrOs2
_cell_length_a 5.1072
_cell_length_b 5.1072
_cell_length_c 3.0687
_cell_angle_alpha 90.00
_cell_angle_beta 90.00
_cell_angle_gamma 90.00
_symmetry_space_group_name_H-M 'P 4/m m m'
_symmetry_Int_Tables_number 123
_symmetry_space_group_name_Hall '-P 4 2'
loop_
_atom_site_label
_atom_site_fract_x
_atom_site_fract_y
_atom_site_fract_z
_atom_site_occupancy
Tl1 0.0000 0.0000 0.0000 1
H1 0.0000 0.0000 0.5000 1
Ir1 0.5000 0.5000 0.5000 1
Os1 0.0000 0.5000 0.0000 1
```



Computed, not measured: an optimized crystal structure of IrPd2Ru at the PBE level of DFT.

Uncorrected energy: -6.35 eV/atom

CIF file:
```
data_IrPd2Ru
_cell_length_a 7.0452
_cell_length_b 7.0452
_cell_length_c 5.2420
_cell_angle_alpha 90.00
_cell_angle_beta 90.00
_cell_angle_gamma 90.00
_symmetry_space_group_name_H-M 'I -4 2 d'
_symmetry_Int_Tables_number 122
_symmetry_space_group_name_Hall 'I -4 2bw'
loop_
_atom_site_label
_atom_site_fract_x
_atom_site_fract_y
_atom_site_fract_z
_atom_site_occupancy
Ir1 0.0000 0.0000 0.0000 1
Pd1 0.2452 0.2500 0.6250 1
Ru1 0.0000 0.0000 0.5000 1
```



Computed, not measured: an optimized crystal structure of PrGa2SiNi2 at the PBE level of DFT.

Energy relative to the elements, uncorrected: -0.429 eV per atom
Uncorrected energy: -5.07 eV/atom

CIF file:
```
data_PrGa2SiNi2
_cell_length_a 4.3155
_cell_length_b 4.3155
_cell_length_c 5.6369
_cell_angle_alpha 90.00
_cell_angle_beta 90.00
_cell_angle_gamma 90.00
_symmetry_space_group_name_H-M 'P 4/m m m'
_symmetry_Int_Tables_number 123
_symmetry_space_group_name_Hall '-P 4 2'
loop_
_atom_site_label
_atom_site_fract_x
_atom_site_fract_y
_atom_site_fract_z
_atom_site_occupancy
Pr1 0.0000 0.0000 0.0000 1
Ga1 0.5000 0.5000 0.2409 1
Si1 0.0000 0.0000 0.5000 1
Ni1 0.0000 0.5000 0.5000 1
```



Computed, not measured: an optimized crystal structure of BaMg14B at the PBE level of DFT.

Uncorrected energy: -1.67 eV/atom

CIF file:
```
data_BaMg14B
_cell_length_a 6.5856
_cell_length_b 6.5856
_cell_length_c 10.1812
_cell_angle_alpha 90.00
_cell_angle_beta 90.00
_cell_angle_gamma 120.00
_symmetry_space_group_name_H-M 'P -6 m 2'
_symmetry_Int_Tables_number 187
_symmetry_space_group_name_Hall 'P -6 2'
loop_
_atom_site_label
_atom_site_fract_x
_atom_site_fract_y
_atom_site_fract_z
_atom_site_occupancy
Ba1 0.0000 0.0000 0.0000 1
Mg1 0.0177 0.5088 0.0000 1
Mg2 0.1583 0.3166 0.2893 1
Mg3 0.5124 0.0248 0.5000 1
Mg4 0.6667 0.3333 0.2392 1
B1 0.0000 0.0000 0.5000 1
```



Computed, not measured: an optimized crystal structure of SrAgH6Pt at the PBE level of DFT.

Uncorrected energy: -3.64 eV/atom

CIF file:
```
data_SrAgH6Pt
_cell_length_a 4.9547
_cell_length_b 4.9547
_cell_length_c 4.5370
_cell_angle_alpha 90.00
_cell_angle_beta 90.00
_cell_angle_gamma 120.00
_symmetry_space_group_name_H-M 'P -6 m 2'
_symmetry_Int_Tables_number 187
_symmetry_space_group_name_Hall 'P -6 2'
loop_
_atom_site_label
_atom_site_fract_x
_atom_site_fract_y
_atom_site_fract_z
_atom_site_occupancy
Sr1 0.0000 0.0000 0.0000 1
Ag1 0.3333 0.6667 0.5000 1
H1 0.5176 0.0352 0.2416 1
Pt1 0.6667 0.3333 0.5000 1
```



Computed, not measured: an optimized crystal structure of BaBr at the PBE level of DFT.

Energy relative to the elements, uncorrected: -1.381 eV per atom
Uncorrected energy: -3.18 eV/atom

CIF file:
```
data_BaBr
_cell_length_a 4.1011
_cell_length_b 4.1011
_cell_length_c 4.1011
_cell_angle_alpha 90.00
_cell_angle_beta 90.00
_cell_angle_gamma 90.00
_symmetry_space_group_name_H-M 'P m -3 m'
_symmetry_Int_Tables_number 221
_symmetry_space_group_name_Hall '-P 4 2 3'
loop_
_atom_site_label
_atom_site_fract_x
_atom_site_fract_y
_atom_site_fract_z
_atom_site_occupancy
Ba1 0.0000 0.0000 0.0000 1
Br1 0.5000 0.5000 0.5000 1
```



Computed, not measured: an optimized crystal structure of MgIn2S2 at the PBE level of DFT.

Energy relative to the elements, uncorrected: 0.020 eV per atom
Uncorrected energy: -3.05 eV/atom

CIF file:
```
data_MgIn2S2
_cell_length_a 5.0127
_cell_length_b 5.0127
_cell_length_c 11.2428
_cell_angle_alpha 90.00
_cell_angle_beta 90.00
_cell_angle_gamma 90.00
_symmetry_space_group_name_H-M 'I 4/m m m'
_symmetry_Int_Tables_number 139
_symmetry_space_group_name_Hall '-I 4 2'
loop_
_atom_site_label
_atom_site_fract_x
_atom_site_fract_y
_atom_site_fract_z
_atom_site_occupancy
Mg1 0.0000 0.0000 0.0000 1
In1 0.0000 0.5000 0.2500 1
S1 0.0000 0.0000 0.3440 1
```



Computed, not measured: an optimized crystal structure of BeCrRh2 at the PBE level of DFT.

Uncorrected energy: -6.74 eV/atom

CIF file:
```
data_BeCrRh2
_cell_length_a 6.2341
_cell_length_b 6.2341
_cell_length_c 5.3177
_cell_angle_alpha 90.00
_cell_angle_beta 90.00
_cell_angle_gamma 90.00
_symmetry_space_group_name_H-M 'I -4 2 d'
_symmetry_Int_Tables_number 122
_symmetry_space_group_name_Hall 'I -4 2bw'
loop_
_atom_site_label
_atom_site_fract_x
_atom_site_fract_y
_atom_site_fract_z
_atom_site_occupancy
Be1 0.0000 0.0000 0.0000 1
Cr1 0.0000 0.0000 0.5000 1
Rh1 0.2194 0.2500 0.1250 1
```



Computed, not measured: an optimized crystal structure of MgZn8Ag3 at the PBE level of DFT.

Uncorrected energy: -1.75 eV/atom

CIF file:
```
data_MgZn8Ag3
_cell_length_a 5.1463
_cell_length_b 5.1463
_cell_length_c 8.3307
_cell_angle_alpha 90.00
_cell_angle_beta 90.00
_cell_angle_gamma 120.00
_symmetry_space_group_name_H-M 'P 3 m 1'
_symmetry_Int_Tables_number 156
loop_
_symmetry_equiv_pos_as_xyz
'x,y,z'
'-y,x-y,z'
'-x+y,-x,z'
'-y,-x,z'
'-x+y,y,z'
'x,x-y,z'
loop_
_atom_site_label
_atom_site_fract_x
_atom_site_fract_y
_atom_site_fract_z
_atom_site_occupancy
Mg1 0.0000 0.0000 0.0000 1
Zn1 0.1625 0.3251 0.6886 1
Zn2 0.3333 0.6667 0.4401 1
Zn3 0.3333 0.6667 0.9382 1
Zn4 0.5035 0.0070 0.1903 1
Ag1 0.0000 0.0000 0.3681 1
Ag2 0.6667 0.3333 0.5013 1
Ag3 0.6667 0.3333 0.8823 1
```



Computed, not measured: an optimized crystal structure of AsCl at the PBE level of DFT.

Energy relative to the elements, uncorrected: 0.849 eV per atom
Uncorrected energy: -2.40 eV/atom

CIF file:
```
data_AsCl
_cell_length_a 6.3434
_cell_length_b 6.3434
_cell_length_c 6.3434
_cell_angle_alpha 90.00
_cell_angle_beta 90.00
_cell_angle_gamma 90.00
_symmetry_space_group_name_H-M 'F -4 3 m'
_symmetry_Int_Tables_number 216
_symmetry_space_group_name_Hall 'F -4 2 3'
loop_
_atom_site_label
_atom_site_fract_x
_atom_site_fract_y
_atom_site_fract_z
_atom_site_occupancy
As1 0.0000 0.0000 0.0000 1
Cl1 0.2500 0.2500 0.2500 1
```



Computed, not measured: an optimized crystal structure of CeNbAs2 at the PBE level of DFT.

Uncorrected energy: -7.20 eV/atom

CIF file:
```
data_CeNbAs2
_cell_length_a 3.8191
_cell_length_b 3.8191
_cell_length_c 20.9977
_cell_angle_alpha 90.00
_cell_angle_beta 90.00
_cell_angle_gamma 120.00
_symmetry_space_group_name_H-M 'R 3 m'
_symmetry_Int_Tables_number 160
_symmetry_space_group_name_Hall 'R 3 -2"'
loop_
_atom_site_label
_atom_site_fract_x
_atom_site_fract_y
_atom_site_fract_z
_atom_site_occupancy
Ce1 0.0000 0.0000 0.0000 1
Nb1 0.0000 0.0000 0.1742 1
As1 0.0000 0.0000 0.4320 1
As2 0.0000 0.0000 0.5768 1
```



Copy entry 4 word for word.
Computed, not measured: an optimized crystal structure of PrGa2SiNi2 at the PBE level of DFT.

Energy relative to the elements, uncorrected: -0.429 eV per atom
Uncorrected energy: -5.07 eV/atom

CIF file:
```
data_PrGa2SiNi2
_cell_length_a 4.3155
_cell_length_b 4.3155
_cell_length_c 5.6369
_cell_angle_alpha 90.00
_cell_angle_beta 90.00
_cell_angle_gamma 90.00
_symmetry_space_group_name_H-M 'P 4/m m m'
_symmetry_Int_Tables_number 123
_symmetry_space_group_name_Hall '-P 4 2'
loop_
_atom_site_label
_atom_site_fract_x
_atom_site_fract_y
_atom_site_fract_z
_atom_site_occupancy
Pr1 0.0000 0.0000 0.0000 1
Ga1 0.5000 0.5000 0.2409 1
Si1 0.0000 0.0000 0.5000 1
Ni1 0.0000 0.5000 0.5000 1
```